[1]
# Tb2Sm3Er6Zr

A relaxed Tb2Sm3Er6Zr crystal (GGA-PBE, Alexandria).

- E (Ha/atom) = -0.18011
- formation energy (eV per atom) = 0.044

Cell: 6.098 10.550 11.603 Å, 90.00 100.05 90.00°
Space group C2/m (No. 12)
Asymmetric unit:
Tb: 0.000 0.167 0.000
Sm: 0.000 0.000 0.500
Sm: 0.000 0.334 0.500
Er: 0.244 0.337 0.243
Er: 0.246 0.500 0.757
Zr: 0.000 0.500 0.000


[2]
# NdGdErGa

A relaxed NdGdErGa crystal (GGA-PBE, Alexandria).

- E (Ha/atom) = -0.24711
- formation energy (eV per atom) = -0.115

Cell: 7.610 7.610 7.610 Å, 90.00 90.00 90.00°
Space group F-43m (No. 216)
Asymmetric unit:
Nd: 0.000 0.000 0.000
Gd: 0.000 0.000 0.500
Er: 0.250 0.250 0.250
Ga: 0.250 0.250 0.750


What did the second record say?
# NdGdErGa

A relaxed NdGdErGa crystal (GGA-PBE, Alexandria).

- E (Ha/atom) = -0.24711
- formation energy (eV per atom) = -0.115

Cell: 7.610 7.610 7.610 Å, 90.00 90.00 90.00°
Space group F-43m (No. 216)
Asymmetric unit:
Nd: 0.000 0.000 0.000
Gd: 0.000 0.000 0.500
Er: 0.250 0.250 0.250
Ga: 0.250 0.250 0.750